# Ta2VBF GGA+U relaxed
data_Ta2VBF
_chemical_formula_sum 'Ta2 V1 B1 F1'
_cell_length_a 4.454
_cell_length_b 4.454
_cell_length_c 3.901
_cell_angle_alpha 90.00
_cell_angle_beta 90.00
_cell_angle_gamma 90.00
_space_group_name_H-M_alt 'P 4/m m m'
_space_group_IT_number 123
_space_group_name_Hall '-P 4 2'
loop_
_atom_site_label
_atom_site_fract_x
_atom_site_fract_y
_atom_site_fract_z
Ta1 0.000 0.500 0.000
V1 0.000 0.000 0.500
B1 0.000 0.000 0.000
F1 0.500 0.500 0.500
# E, eV per atom: -7.251
# Crystal system: tetragonal
# Total moment, Bohr magnetons per cell: 0.001